<A>
First-principles (GGA-PBE) data for a relaxed structure of Ca2ScCu, as listed in Alexandria via LeMat-Bulk.

Results
Space group   No. 44

abc: 6.559 6.559 6.559
angles: 148.54 130.26 60.05
Sites, in units of the cell vectors:
Ca: 0.003 0.003 0.000
Ca: 0.701 0.201 0.500
Sc: 0.311 0.811 0.500
Cu: 0.485 0.485 0.000



<B>
First-principles (GGA-PBE) data for a relaxed structure of Ca2ScCu, as listed in Alexandria via LeMat-Bulk.

Results
Space group   No. 99

abc: 3.493 3.494 9.142
angles: 90.00 90.00 89.99
Sites, in units of the cell vectors:
Sc: 0.500 0.500 0.675
Ca: 0.500 0.500 0.319
Cu: 0.000 0.000 0.539
Ca: 0.000 0.000 0.967



Which of them is most stable, and which least? Most stable: <B>; least stable: <A>.



<A>
First-principles (GGA-PBE) data for a relaxed structure of Ca2ScCu, as listed in Alexandria via LeMat-Bulk.

Results
Space group   No. 122

abc: 8.747 8.747 6.885
angles: 50.57 50.57 90.00
Sites, in units of the cell vectors:
Ca: 0.050 0.625 0.250
Ca: 0.875 0.950 0.750
Ca: 0.375 0.300 0.750
Ca: 0.700 0.125 0.250
Cu: 0.750 0.250 0.500
Sc: 0.500 0.500 0.000
Cu: 0.000 0.000 0.000
Sc: 0.250 0.750 0.500



<B>
First-principles (GGA-PBE) data for a relaxed structure of Ca2ScCu, as listed in Alexandria via LeMat-Bulk.

Results
Space group   No. 225

abc: 5.340 5.340 5.340
angles: 60.00 60.00 60.00
Sites, in units of the cell vectors:
Sc: 0.000 0.000 0.000
Cu: 0.500 0.500 0.500
Ca: 0.750 0.750 0.750
Ca: 0.250 0.250 0.250



<C>
First-principles (GGA-PBE) data for a relaxed structure of Ca2ScCu, as listed in Alexandria via LeMat-Bulk.

Results
Space group   No. 216

abc: 5.264 5.264 5.264
angles: 60.00 60.00 60.00
Sites, in units of the cell vectors:
Ca: 0.250 0.250 0.250
Cu: 0.500 0.500 0.500
Sc: 0.750 0.750 0.750
Ca: 0.000 0.000 0.000



<D>
First-principles (GGA-PBE) data for a relaxed structure of Ca2ScCu, as listed in Alexandria via LeMat-Bulk.

Results
Space group   No. 123

abc: 5.167 5.169 4.022
angles: 90.00 90.00 90.00
Sites, in units of the cell vectors:
Ca: 0.500 0.500 0.000
Ca: 0.000 0.000 0.000
Cu: 0.500 0.000 0.500
Sc: 0.000 0.500 0.500



Which of them is most stable, and which least? Most stable: <D>; least stable: <B>.



<A>
First-principles (GGA-PBE) data for a relaxed structure of Ca2ScCu, as listed in Alexandria via LeMat-Bulk.

Results
Space group   No. 119

abc: 6.073 6.073 6.073
angles: 135.51 135.51 64.74
Sites, in units of the cell vectors:
Cu: 0.500 0.500 0.000
Ca: 0.000 0.000 0.000
Ca: 0.250 0.750 0.500
Sc: 0.750 0.250 0.500



<B>
First-principles (GGA-PBE) data for a relaxed structure of Ca2ScCu, as listed in Alexandria via LeMat-Bulk.

Results
Space group   No. 139

abc: 5.994 5.994 5.994
angles: 134.85 134.85 65.76
Sites, in units of the cell vectors:
Cu: 0.250 0.750 0.500
Sc: 0.750 0.250 0.500
Ca: 0.000 0.000 0.000
Ca: 0.500 0.500 0.000



Which of them is most stable, and which least? Most stable: <A>; least stable: <B>.